*1*
## MgTl2Zn (PBEsol)

Data for crystalline MgTl2Zn at its relaxed geometry.

```
MgTl2Zn
1.0
3.4537 0.0000 0.0000
-1.7268 2.9910 0.0000
0.0000 0.0000 26.6551
Mg Tl Zn
3 6 3
Cartesian
0.0000 0.0000 0.0000
0.0000 1.9940 17.7701
1.7268 0.9970 8.8850
0.0000 0.0000 6.5338
0.0000 0.0000 20.1213
0.0000 1.9940 11.2363
0.0000 1.9940 24.3038
1.7268 0.9970 2.3513
1.7268 0.9970 15.4188
0.0000 0.0000 13.3275
0.0000 1.9940 4.4425
1.7268 0.9970 22.2126
```

=====

*2*
## MgTl2Zn (PBEsol)

Data for crystalline MgTl2Zn at its relaxed geometry.

```
MgTl2Zn
1.0
3.7660 0.0000 0.0000
0.0000 5.2714 0.0000
0.0000 0.0000 9.4032
Mg Tl Zn
2 4 2
Cartesian
0.0000 0.0000 0.0000
1.8830 2.6357 4.7016
0.0000 2.6357 2.1857
0.0000 2.6357 7.2175
1.8830 0.0000 2.5159
1.8830 0.0000 6.8873
0.0000 0.0000 4.7016
1.8830 2.6357 0.0000
```

=====

So which one is most stable? That would be *1*, about 6 meV/atom below the next structure.

=====

*1*
## Tm3Mg (PBEsol)

Data for crystalline Tm3Mg at its relaxed geometry.

```
Tm3Mg
1.0
3.4385 0.0000 0.0000
0.0000 3.4385 0.0000
0.0000 0.0000 9.1843
Tm Mg
3 1
Cartesian
0.0000 0.0000 0.0000
1.7193 1.7193 2.3532
1.7193 1.7193 6.8312
0.0000 0.0000 4.5922
```

=====

*2*
## Tm3Mg (PBEsol)

Data for crystalline Tm3Mg at its relaxed geometry.

```
Tm3Mg
1.0
6.8103 0.0000 0.0000
-3.4051 5.8979 0.0000
0.0000 0.0000 5.3971
Tm Mg
6 2
Cartesian
0.0000 1.9912 1.3493
-1.6807 4.9023 1.3493
1.7244 0.9956 4.0478
1.6807 4.9023 1.3493
5.0859 0.9956 4.0478
3.4051 3.9067 4.0478
0.0000 3.9319 4.0478
3.4051 1.9660 1.3493
```

=====

So which one is most stable? That would be *1*, about 34 meV/atom below the next structure.

=====

*1*
## MgW (PBEsol)

Data for crystalline MgW at its relaxed geometry.

```
MgW
1.0
2.7434 0.0000 0.0000
0.0000 4.4660 0.0000
-0.9610 0.0000 5.5496
Mg W
2 2
Cartesian
-0.0244 1.1165 2.0617
1.8069 3.3495 3.4879
1.0101 3.3495 0.5810
0.7723 1.1165 4.9686
```

=====

*2*
## MgW (PBEsol)

Data for crystalline MgW at its relaxed geometry.

```
MgW
1.0
6.4019 0.0000 0.0000
0.0000 6.4019 0.0000
0.0000 0.0000 6.4019
Mg W
4 4
Cartesian
0.0000 0.0000 0.0000
0.0000 3.2009 3.2009
3.2009 0.0000 3.2009
3.2009 3.2009 0.0000
1.6005 1.6005 1.6005
1.6005 4.8014 4.8014
4.8014 1.6005 4.8014
4.8014 4.8014 1.6005
```

=====

So which one is most stable? That would be *1*, about 3123 meV/atom below the next structure.

=====

*1*
## MgW4 (PBEsol)

Data for crystalline MgW4 at its relaxed geometry.

```
MgW4
1.0
4.1974 0.0000 0.0000
0.0000 4.1974 0.0000
0.0000 0.0000 11.0238
Mg W
2 8
Cartesian
0.0000 0.0000 0.0000
2.0987 2.0987 5.5119
0.0000 0.0000 4.2139
0.0000 0.0000 6.8098
0.0000 2.0987 2.7559
0.0000 2.0987 8.2678
2.0987 0.0000 2.7559
2.0987 0.0000 8.2678
2.0987 2.0987 1.2980
2.0987 2.0987 9.7258
```

=====

*2*
## MgW4 (PBEsol)

Data for crystalline MgW4 at its relaxed geometry.

```
MgW4
1.0
5.6721 0.0000 0.0000
0.0000 5.6721 0.0000
0.0000 0.0000 5.6721
Mg W
2 8
Cartesian
0.0000 0.0000 0.0000
2.8360 2.8360 2.8360
1.4180 1.4180 1.4180
1.4180 1.4180 4.2541
1.4180 4.2541 1.4180
1.4180 4.2541 4.2541
4.2541 1.4180 1.4180
4.2541 1.4180 4.2541
4.2541 4.2541 1.4180
4.2541 4.2541 4.2541
```

=====

So which one is most stable? That would be *1*, about 1295 meV/atom below the next structure.

=====

*1*
## MgZnW2 (PBEsol)

Data for crystalline MgZnW2 at its relaxed geometry.

```
MgZnW2
1.0
2.6591 0.0000 0.0000
0.0000 4.2251 0.0000
0.0000 0.0000 5.6786
Mg Zn W
1 1 2
Cartesian
0.0000 0.0000 0.0000
1.3296 2.1126 4.3821
0.0000 0.0000 2.8411
1.3296 2.1126 1.6071
```

=====

*2*
## MgZnW2 (PBEsol)

Data for crystalline MgZnW2 at its relaxed geometry.

```
MgZnW2
1.0
2.6695 0.0000 0.0000
0.0000 4.3943 0.0000
0.0000 0.0000 5.3271
Mg Zn W
1 1 2
Cartesian
0.0000 0.0000 0.0000
0.0000 0.0000 2.6636
1.3348 2.1972 1.3184
1.3348 2.1972 4.0087
```

=====

So which one is most stable? That would be *1*, about 18 meV/atom below the next structure.

=====

*1*
## Y4Mg3 (PBEsol)

Data for crystalline Y4Mg3 at its relaxed geometry.

```
Y4Mg3
1.0
3.4409 0.0000 0.0000
0.0000 3.4409 0.0000
0.0000 0.0000 32.4258
Y Mg
8 6
Cartesian
0.0000 0.0000 2.2683
0.0000 0.0000 11.4314
0.0000 0.0000 20.9944
0.0000 0.0000 30.1575
1.7205 1.7205 4.7815
1.7205 1.7205 13.9446
1.7205 1.7205 18.4812
1.7205 1.7205 27.6443
0.0000 0.0000 7.1200
0.0000 0.0000 16.2129
0.0000 0.0000 25.3058
1.7205 1.7205 0.0000
1.7205 1.7205 9.0929
1.7205 1.7205 23.3329
```

=====

*2*
## Y4Mg3 (PBEsol)

Data for crystalline Y4Mg3 at its relaxed geometry.

```
Y4Mg3
1.0
5.9454 0.0000 0.0000
-2.9727 5.1489 0.0000
0.0000 0.0000 6.3331
Y Mg
4 3
Cartesian
0.0000 0.0000 1.5556
0.0000 0.0000 4.7775
0.0000 3.4326 0.0000
2.9727 1.7163 0.0000
-1.4864 2.5745 3.1665
2.9727 0.0000 3.1665
1.4864 2.5745 3.1665
```

=====

So which one is most stable? That would be *1*, about 59 meV/atom below the next structure.

=====

*1*
## YMgZn (PBEsol)

Data for crystalline YMgZn at its relaxed geometry.

```
YMgZn
1.0
7.4386 0.0000 0.0000
-3.7193 6.4420 0.0000
0.0000 0.0000 4.1293
Y Mg Zn
3 3 3
Cartesian
-2.1879 3.7896 0.0000
1.5314 2.6524 0.0000
4.3759 0.0000 0.0000
-0.9173 1.5889 2.0647
1.8347 0.0000 2.0647
2.8019 4.8531 2.0647
0.0000 0.0000 0.0000
0.0000 4.2947 2.0647
3.7193 2.1473 2.0647
```

=====

*2*
## YMgZn (PBEsol)

Data for crystalline YMgZn at its relaxed geometry.

```
YMgZn
1.0
4.7589 0.0000 0.0000
-2.3794 4.1213 0.0000
0.0000 0.0000 3.3774
Y Mg Zn
1 1 1
Cartesian
0.0000 0.0000 0.0000
2.3794 1.3738 1.6887
0.0000 2.7475 1.6887
```

=====

So which one is most stable? That would be *1*, about 107 meV/atom below the next structure.

=====

*1*
## Mg5Zn3 (PBEsol)

Data for crystalline Mg5Zn3 at its relaxed geometry.

```
Mg5Zn3
1.0
7.2928 0.0000 0.0000
0.0000 9.1104 0.0000
0.0000 0.0000 4.4708
Mg Zn
10 6
Cartesian
0.0000 0.0000 0.0000
1.5757 4.5552 2.2354
1.8232 2.2776 0.0000
1.8232 6.8328 0.0000
2.0707 0.0000 2.2354
3.6464 4.5552 0.0000
5.2221 0.0000 2.2354
5.4696 2.2776 0.0000
5.4696 6.8328 0.0000
5.7171 4.5552 2.2354
0.0000 2.0366 2.2354
0.0000 4.5552 0.0000
0.0000 7.0738 2.2354
3.6464 0.0000 0.0000
3.6464 2.5186 2.2354
3.6464 6.5918 2.2354
```

=====

*2*
## Mg5Zn3 (PBEsol)

Data for crystalline Mg5Zn3 at its relaxed geometry.

```
Mg5Zn3
1.0
7.9685 0.0000 0.0000
-3.9842 6.9009 0.0000
0.0000 0.0000 5.5339
Mg Zn
10 6
Cartesian
-0.9818 1.7005 1.3835
-3.0024 5.2004 4.1504
1.9636 0.0000 1.3835
0.9818 1.7005 4.1504
0.0000 4.6006 0.0000
0.0000 4.6006 2.7670
3.9842 2.3003 0.0000
3.9842 2.3003 2.7670
6.0049 0.0000 4.1504
3.0024 5.2004 1.3835
-1.5858 2.7467 4.1504
-2.3984 4.1542 1.3835
3.1716 0.0000 4.1504
1.5858 2.7467 1.3835
4.7968 0.0000 1.3835
2.3984 4.1542 4.1504
```

=====

So which one is most stable? That would be *2*, about 24 meV/atom below the next structure.